[1]
Density functional theory data (PBE) for a relaxed structure of V3GaNi12.

Cell lengths 3.564, 3.564, 14.268 Å; angles 90.00, 90.00, 90.00 degrees
Positions (direct):
1 V 0.000 0.000 0.000
2 V 0.000 0.000 0.252
3 V 0.000 0.000 0.748
4 Ga 0.000 0.000 0.500
5 Ni 0.000 0.500 0.125
6 Ni 0.000 0.500 0.371
7 Ni 0.000 0.500 0.629
8 Ni 0.000 0.500 0.875
9 Ni 0.500 0.000 0.125
10 Ni 0.500 0.000 0.371
11 Ni 0.500 0.000 0.629
12 Ni 0.500 0.000 0.875
13 Ni 0.500 0.500 0.000
14 Ni 0.500 0.500 0.248
15 Ni 0.500 0.500 0.500
16 Ni 0.500 0.500 0.752

Summary:
- crystal system = tetragonal
- total magnetization (μB per atom) = 0.13
- energy of formation from the pure elements (kJ per mole of atoms) = -22.5
- SG = P4/mmm (123)

---

[2]
Density functional theory data (PBE) for a relaxed structure of V12Ga3Ni.

Cell lengths 4.741, 4.747, 9.561 Å; angles 90.00, 90.00, 90.00 degrees
Positions (direct):
1 V 0.000 0.000 0.117
2 V 0.000 0.000 0.369
3 V 0.000 0.000 0.631
4 V 0.000 0.000 0.883
5 V 0.245 0.500 0.245
6 V 0.245 0.500 0.755
7 V 0.500 0.244 0.500
8 V 0.500 0.256 0.000
9 V 0.500 0.744 0.000
10 V 0.500 0.756 0.500
11 V 0.755 0.500 0.245
12 V 0.755 0.500 0.755
13 Ga 0.000 0.500 0.500
14 Ga 0.500 0.000 0.250
15 Ga 0.500 0.000 0.750
16 Ni 0.000 0.500 0.000

Summary:
- crystal system = orthorhombic
- total magnetization (μB per atom) = 0.00
- energy of formation from the pure elements (kJ per mole of atoms) = -16.7
- SG = Pmmm (47)

---

[3]
Density functional theory data (PBE) for a relaxed structure of V2GaNi4.

Cell lengths 4.293, 4.293, 11.862 Å; angles 90.00, 90.00, 90.00 degrees
Positions (direct):
1 V 0.000 0.000 0.116
2 V 0.000 0.000 0.884
3 V 0.500 0.500 0.384
4 V 0.500 0.500 0.616
5 Ga 0.000 0.000 0.500
6 Ga 0.500 0.500 0.000
7 Ni 0.000 0.000 0.302
8 Ni 0.000 0.000 0.698
9 Ni 0.000 0.500 0.000
10 Ni 0.000 0.500 0.500
11 Ni 0.500 0.000 0.000
12 Ni 0.500 0.000 0.500
13 Ni 0.500 0.500 0.198
14 Ni 0.500 0.500 0.802

Summary:
- crystal system = tetragonal
- total magnetization (μB per atom) = 0.56
- energy of formation from the pure elements (kJ per mole of atoms) = 74.5
- excess energy over the best structure of this formula in the dataset (eV/f.u.) = 6.17
- SG = I4/mmm (139)

---

What are the volume values for these records? In order: 181.2, 215.2, 218.6 Å³/cell.